Entry 1:
Below is crystalline Li2Ga3Cu at its relaxed geometry, with properties calculated at the PBE level.

SG	No. 63

a b c (Å): 2.831 6.511 11.083
angles (deg): 90.00 97.34 90.00
Sites, in units of the cell vectors:
Li (0.163, 0.750, 0.327)
Li (0.837, 0.250, 0.673)
Li (0.974, 0.750, 0.949)
Li (0.026, 0.250, 0.051)
Ga (0.435, 0.446, 0.870)
Ga (0.565, 0.554, 0.130)
Ga (0.435, 0.054, 0.870)
Ga (0.565, 0.946, 0.130)
Ga (0.772, 0.750, 0.544)
Ga (0.228, 0.250, 0.456)
Cu (0.367, 0.750, 0.735)
Cu (0.633, 0.250, 0.265)

---

Entry 2:
Below is crystalline Li5Ga5Cu2 at its relaxed geometry, with properties calculated at the PBE level.

SG	No. 12

a b c (Å): 4.429 4.596 10.733
angles (deg): 75.20 78.09 61.20
Sites, in units of the cell vectors:
Li (0.000, 0.500, 0.500)
Li (0.672, 0.676, 0.980)
Li (0.405, 0.890, 0.301)
Li (0.595, 0.110, 0.699)
Li (0.328, 0.324, 0.020)
Ga (0.693, 0.182, 0.433)
Ga (0.905, 0.416, 0.773)
Ga (0.095, 0.584, 0.227)
Ga (0.307, 0.818, 0.567)
Ga (0.000, 0.000, 0.000)
Cu (0.227, 0.744, 0.803)
Cu (0.773, 0.256, 0.197)

---

Entry 3:
Below is crystalline Li6GaCu2 at its relaxed geometry, with properties calculated at the PBE level.

SG	No. 12

a b c (Å): 4.269 5.133 7.044
angles (deg): 113.19 107.64 90.00
Sites, in units of the cell vectors:
Li (0.399, 0.866, 0.798)
Li (0.601, 0.134, 0.202)
Li (0.720, 0.828, 0.440)
Li (0.147, 0.473, 0.294)
Li (0.280, 0.172, 0.560)
Li (0.853, 0.527, 0.706)
Ga (0.500, 0.500, 0.000)
Cu (0.946, 0.173, 0.893)
Cu (0.054, 0.827, 0.107)

---

Entry 4:
Below is crystalline Li3Ga4Cu at its relaxed geometry, with properties calculated at the PBE level.

SG	No. 71

a b c (Å): 4.206 3.084 10.377
angles (deg): 98.54 101.69 90.00
Sites, in units of the cell vectors:
Li (0.000, 0.500, 0.000)
Li (0.141, 0.141, 0.283)
Li (0.859, 0.859, 0.717)
Ga (0.406, 0.406, 0.812)
Ga (0.594, 0.594, 0.188)
Ga (0.722, 0.722, 0.443)
Ga (0.278, 0.278, 0.557)
Cu (0.500, 0.000, 0.000)

---

Entry 5:
Below is crystalline LiGa2Cu at its relaxed geometry, with properties calculated at the PBE level.

SG	No. 194

a b c (Å): 4.240 4.240 8.012
angles (deg): 90.00 90.00 120.00
Sites, in units of the cell vectors:
Li (0.333, 0.667, 0.250)
Li (0.667, 0.333, 0.750)
Ga (0.333, 0.667, 0.586)
Ga (0.667, 0.333, 0.086)
Ga (0.667, 0.333, 0.414)
Ga (0.333, 0.667, 0.914)
Cu (0.000, 0.000, 0.000)
Cu (0.000, 0.000, 0.500)

---

Entry 6:
Below is crystalline Li4GaCu at its relaxed geometry, with properties calculated at the PBE level.

SG	No. 63

a b c (Å): 7.965 7.965 4.462
angles (deg): 90.00 90.00 142.42
Sites, in units of the cell vectors:
Li (0.207, 0.289, 0.750)
Li (0.041, 0.457, 0.750)
Li (0.289, 0.207, 0.250)
Li (0.457, 0.041, 0.250)
Li (0.793, 0.711, 0.250)
Li (0.711, 0.793, 0.750)
Li (0.959, 0.543, 0.250)
Li (0.543, 0.959, 0.750)
Ga (0.874, 0.126, 0.250)
Ga (0.126, 0.874, 0.750)
Cu (0.376, 0.624, 0.250)
Cu (0.624, 0.376, 0.750)

---

Entry 7:
Below is crystalline Li3Ga2Cu3 at its relaxed geometry, with properties calculated at the PBE level.

SG	No. 160

a b c (Å): 4.212 4.212 7.284
angles (deg): 73.19 73.19 60.00
Sites, in units of the cell vectors:
Li (0.249, 0.249, 0.252)
Li (0.751, 0.751, 0.747)
Li (0.624, 0.624, 0.127)
Ga (0.002, 0.002, 0.993)
Ga (0.497, 0.497, 0.508)
Cu (0.125, 0.125, 0.626)
Cu (0.876, 0.876, 0.373)
Cu (0.375, 0.375, 0.874)

---

Entry 8:
Below is crystalline Li2Ga3Cu6 at its relaxed geometry, with properties calculated at the PBE level.

SG	No. 2

a b c (Å): 4.160 7.284 12.197
angles (deg): 25.93 80.22 90.03
Sites, in units of the cell vectors:
Li (0.334, 0.028, 0.333)
Li (0.666, 0.972, 0.667)
Ga (0.000, 0.000, 0.000)
Ga (0.818, 0.785, 0.365)
Ga (0.182, 0.215, 0.635)
Cu (0.068, 0.536, 0.864)
Cu (0.563, 0.000, 0.874)
Cu (0.932, 0.464, 0.136)
Cu (0.437, 0.000, 0.126)
Cu (0.685, 0.684, 0.634)
Cu (0.315, 0.316, 0.366)

---

Across the entries above, magnetization takes the values 0.00, 0.00, 0.00, 0.00, 0.00, 0.00, 0.00, 0.00 μB/f.u., respectively.
Across the entries above, calculated formation energy takes the values -2.39, -4.93, -2.14, -4.65, -4.69, -3.68, -5.25, -2.46 kcal/mol of atoms, respectively.
Across the entries above, Fermi-level density of states takes the values 0.42, 0.20, 0.46, 0.19, 0.24, 0.32, 0.31, 0.31 states/eV per atom, respectively.